{
  "formula": "Ti3BeSe",
  "functional": "PBE",
  "state": "optimized geometry",
  "sg": "No. 221",
  "n_ef_per_ev_atom": 1.090,
  "raw_formation_energy_ev_per_atom": 0.152,
  "polymorph_energy_ev_per_fu": 0.00,
  "lattice_angstrom": [[4.364, 0.000, 0.000], [0.000, 4.364, 0.000], [0.000, 0.000, 4.364]],
  "species": ["Be", "Se", "Ti", "Ti", "Ti"],
  "fractional_positions": [[0.000, 0.000, 0.000], [0.500, 0.500, 0.500], [0.000, 0.500, 0.000], [0.000, 0.000, 0.500], [0.500, 0.000, 0.000]]
}



{
  "formula": "TiBeSe2",
  "functional": "PBE",
  "state": "optimized geometry",
  "sg": "No. 166",
  "n_ef_per_ev_atom": 0.412,
  "raw_formation_energy_ev_per_atom": -0.480,
  "lattice_angstrom": [[5.871, -1.627, 4.576], [7.292, -1.782, 1.306], [6.898, 1.370, 2.933]],
  "species": ["Be", "Se", "Se", "Ti"],
  "fractional_positions": [[0.000, 0.000, 0.000], [0.905, 0.905, 0.905], [0.095, 0.095, 0.095], [0.500, 0.500, 0.500]]
}



{
  "formula": "TiBeSe3",
  "functional": "PBE",
  "state": "optimized geometry",
  "sg": "No. 221",
  "n_ef_per_ev_atom": 0.660,
  "raw_formation_energy_ev_per_atom": 0.180,
  "polymorph_energy_ev_per_fu": 0.25,
  "lattice_angstrom": [[-2.872, 2.158, -3.371], [-3.148, -3.780, 0.263], [-2.471, 2.307, 3.582]],
  "species": ["Be", "Se", "Se", "Se", "Ti"],
  "fractional_positions": [[0.500, 0.500, 0.500], [0.000, 0.500, 0.000], [0.000, 0.000, 0.500], [0.500, 0.000, 0.000], [0.000, 0.000, 0.000]]
}



{
  "formula": "YTiBeSe2",
  "functional": "PBE",
  "state": "optimized geometry",
  "sg": "No. 123",
  "n_ef_per_ev_atom": 1.152,
  "raw_formation_energy_ev_per_atom": 0.248,
  "lattice_angstrom": [[-4.741, -0.028, -1.040], [0.902, -3.756, -4.008], [-0.681, -3.582, 3.204]],
  "species": ["Y", "Be", "Se", "Se", "Ti"],
  "fractional_positions": [[0.000, 0.500, 0.000], [0.500, 0.500, 0.500], [0.000, 0.000, 0.500], [0.500, 0.000, 0.000], [0.000, 0.000, 0.000]]
}



{
  "formula": "Be2Tl3Se4",
  "functional": "PBE",
  "state": "optimized geometry",
  "sg": "No. 2",
  "n_ef_per_ev_atom": 0.317,
  "raw_formation_energy_ev_per_atom": -0.390,
  "lattice_angstrom": [[3.470, 0.001, -0.969], [-1.334, 8.640, -4.791], [1.059, -2.325, 10.526]],
  "species": ["Be", "Be", "Tl", "Tl", "Tl", "Se", "Se", "Se", "Se"],
  "fractional_positions": [[0.632, 0.984, 0.267], [0.368, 0.016, 0.733], [0.125, 0.677, 0.251], [0.875, 0.323, 0.749], [0.000, 0.000, 0.000], [0.507, 0.724, 0.015], [0.198, 0.135, 0.398], [0.493, 0.276, 0.985], [0.802, 0.865, 0.602]]
}



{
  "formula": "BeTl3Se3",
  "functional": "PBE",
  "state": "optimized geometry",
  "sg": "No. 14",
  "n_ef_per_ev_atom": 0.363,
  "raw_formation_energy_ev_per_atom": -0.408,
  "lattice_angstrom": [[-5.084, 3.405, 4.325], [-4.197, -7.651, 1.090], [7.646, -0.634, 9.487]],
  "species": ["Be", "Be", "Be", "Be", "Tl", "Tl", "Tl", "Tl", "Tl", "Tl", "Tl", "Tl", "Tl", "Tl", "Tl", "Tl", "Se", "Se", "Se", "Se", "Se", "Se", "Se", "Se", "Se", "Se", "Se", "Se"],
  "fractional_positions": [[0.416, 0.828, 0.956], [0.084, 0.828, 0.456], [0.916, 0.172, 0.544], [0.584, 0.172, 0.044], [0.838, 0.915, 0.863], [0.662, 0.915, 0.363], [0.231, 0.696, 0.716], [0.746, 0.599, 0.582], [0.269, 0.696, 0.216], [0.754, 0.599, 0.082], [0.246, 0.401, 0.918], [0.731, 0.304, 0.784], [0.254, 0.401, 0.418], [0.769, 0.304, 0.284], [0.338, 0.085, 0.637], [0.162, 0.085, 0.137], [0.937, 0.942, 0.612], [0.563, 0.942, 0.112], [0.135, 0.756, 0.983], [0.365, 0.756, 0.483], [0.570, 0.638, 0.852], [0.930, 0.638, 0.352], [0.070, 0.362, 0.648], [0.430, 0.362, 0.148], [0.635, 0.244, 0.517], [0.865, 0.244, 0.017], [0.437, 0.058, 0.888], [0.063, 0.058, 0.388]]
}